# 1
{
  "formula": "Pr5Dy4Th2",
  "functional": "PBE-GGA",
  "state": "relaxed",
  "cell": [[3.537, 0.000, 0.000], [0.000, 8.967, 0.218], [0.000, 0.612, 11.902]],
  "species": ["Th", "Pr", "Pr", "Dy", "Th", "Pr", "Pr", "Dy", "Dy", "Dy", "Pr"],
  "frac_coords": [[0.000, 0.042, 0.368], [0.000, 0.191, 0.836], [0.000, 0.809, 0.164], [0.500, 0.300, 0.548], [0.000, 0.958, 0.632], [0.000, 0.424, 0.292], [0.000, 0.576, 0.708], [0.500, 0.700, 0.452], [0.500, 0.840, 0.891], [0.500, 0.160, 0.109], [0.000, 0.500, 0.000]],
  "polymorph_energy_kj_per_mol_atoms": 0.0,
  "e_form_mev_per_atom": 122
}

# 2
{
  "formula": "InRuCl2",
  "functional": "PBE-GGA",
  "state": "relaxed",
  "cell": [[9.107, -0.028, -0.016], [8.479, 3.324, -0.016], [8.479, 1.589, 2.920]],
  "species": ["Cl", "Cl", "Ru", "In"],
  "frac_coords": [[0.019, 0.019, 0.019], [0.481, 0.481, 0.481], [0.750, 0.750, 0.750], [0.250, 0.250, 0.250]],
  "polymorph_energy_kj_per_mol_atoms": 30.0,
  "e_form_raw_kj_per_mol_atoms": 6.8
}

Please write out number 1 again, unchanged.
{
  "formula": "Pr5Dy4Th2",
  "functional": "PBE-GGA",
  "state": "relaxed",
  "cell": [[3.537, 0.000, 0.000], [0.000, 8.967, 0.218], [0.000, 0.612, 11.902]],
  "species": ["Th", "Pr", "Pr", "Dy", "Th", "Pr", "Pr", "Dy", "Dy", "Dy", "Pr"],
  "frac_coords": [[0.000, 0.042, 0.368], [0.000, 0.191, 0.836], [0.000, 0.809, 0.164], [0.500, 0.300, 0.548], [0.000, 0.958, 0.632], [0.000, 0.424, 0.292], [0.000, 0.576, 0.708], [0.500, 0.700, 0.452], [0.500, 0.840, 0.891], [0.500, 0.160, 0.109], [0.000, 0.500, 0.000]],
  "polymorph_energy_kj_per_mol_atoms": 0.0,
  "e_form_mev_per_atom": 122
}